This record from Alexandria via LeMat-Bulk describes a geometry-optimized PtRh3I structure. The functional is GGA-PBE.

Structure (POSCAR):
```
PtRh3I
1.0
4.8683 0.0000 0.0000
0.0000 4.8683 0.0000
0.0000 0.0000 4.8683
I Rh Pt
1 3 1
Cartesian
2.4341 2.4341 2.4341
0.0000 2.4341 0.0000
0.0000 0.0000 2.4341
2.4341 0.0000 0.0000
0.0000 0.0000 0.0000
```

Calculated values
D(E_F), states/eV/f.u.: 10.6
ΔE to the lowest computed polymorph, eV/atom: 0.000
Crystal system: cubic
Symmetry: Pm-3m, No. 221
Calculated total energy, eV/atom: -4.619
Uncorrected formation energy, eV/atom: 1.310

This record from Alexandria via LeMat-Bulk describes a geometry-optimized Sb2PtRhI structure. The functional is GGA-PBE.

Structure (POSCAR):
```
Sb2PtRhI
1.0
-0.2269 3.3552 -3.7518
-2.4022 -3.3725 -2.8707
-4.7020 1.7642 1.8620
I Sb Rh Pt
1 2 1 1
Cartesian
-2.3510 0.8821 0.9310
-1.2011 -1.6862 -1.4354
-0.1134 1.6776 -1.8759
0.0000 0.0000 0.0000
-3.6655 0.8734 -2.3802
```

Calculated values
D(E_F), states/eV/f.u.: 4.8
ΔE to the lowest computed polymorph, eV/atom: 0.000
Crystal system: tetragonal
Symmetry: P4/mmm, No. 123
Calculated total energy, eV/atom: -3.970
Uncorrected formation energy, eV/atom: 0.668

This record from Alexandria via LeMat-Bulk describes a geometry-optimized SbPtRhI2 structure. The functional is GGA-PBE.

Structure (POSCAR):
```
SbPtRhI2
1.0
-3.5628 -0.3568 4.0049
-1.5679 -4.8041 -1.8229
3.4387 -2.2084 2.8623
I Sb Rh Pt
2 1 1 1
Cartesian
-0.7840 -2.4020 -0.9114
-1.7814 -0.1784 2.0025
1.7194 -1.1042 1.4312
0.0000 0.0000 0.0000
-0.8460 -3.6847 2.5222
```

Calculated values
D(E_F), states/eV/f.u.: 7.0
ΔE to the lowest computed polymorph, eV/atom: 0.000
Crystal system: tetragonal
Symmetry: P4/mmm, No. 123
Calculated total energy, eV/atom: -3.328
Uncorrected formation energy, eV/atom: 0.795

This record from Alexandria via LeMat-Bulk describes a geometry-optimized ScPtRhI2 structure. The functional is GGA-PBE.

Structure (POSCAR):
```
ScPtRhI2
1.0
-0.9597 -3.6992 3.6853
1.9773 -3.7255 -3.2246
4.5123 0.7373 1.9151
I Sc Rh Pt
2 1 1 1
Cartesian
0.9887 -1.8627 -1.6123
-0.4798 -1.8496 1.8427
2.7650 -3.3437 1.1879
2.2561 0.3687 0.9575
0.0000 0.0000 0.0000
```

Calculated values
D(E_F), states/eV/f.u.: 6.3
Crystal system: tetragonal
Symmetry: P4/mmm, No. 123
Calculated total energy, eV/atom: -4.009
Uncorrected formation energy, eV/atom: 0.556

This record from Alexandria via LeMat-Bulk describes a geometry-optimized SiPtRhI2 structure. The functional is GGA-PBE.

Structure (POSCAR):
```
SiPtRhI2
1.0
-0.0529 -3.7371 -4.2151
1.8510 -3.0788 2.7064
-5.1340 -1.7028 1.5742
I Si Rh Pt
2 1 1 1
Cartesian
-2.5670 -0.8514 0.7871
-0.0265 -1.8686 -2.1075
0.9255 -1.5394 1.3532
-1.6680 -4.2594 0.0328
0.0000 0.0000 0.0000
```

Calculated values
D(E_F), states/eV/f.u.: 7.2
Crystal system: tetragonal
Symmetry: P4/mmm, No. 123
Calculated total energy, eV/atom: -3.563
Uncorrected formation energy, eV/atom: 0.820

This record from Alexandria via LeMat-Bulk describes a geometry-optimized Sm6PtRh2I3 structure. The functional is GGA-PBE.

Structure (POSCAR):
```
Sm6PtRh2I3
1.0
-4.7392 -5.4390 0.3516
5.5740 -0.3595 -4.5790
4.1749 -1.5798 7.1049
Sm Pt Rh I
6 1 2 3
Cartesian
2.2943 -6.6074 3.3793
1.3729 -4.4773 -1.7409
2.7153 -0.7709 -0.5018
5.7957 -4.8829 1.7053
3.6368 -2.9010 4.6184
-0.7861 -2.4954 1.1722
0.0000 0.0000 0.0000
2.1365 -2.0526 -2.9355
-1.3016 -3.7459 -1.2918
5.9427 -1.9959 -0.2048
-0.9330 -5.3824 3.0824
2.5048 -3.6892 1.4388
```

Calculated values
D(E_F), states/eV/f.u.: 5.9
Crystal system: monoclinic
Symmetry: C2/m, No. 12
Calculated total energy, eV/atom: -5.484
Uncorrected formation energy, eV/atom: -1.008

This record from Alexandria via LeMat-Bulk describes a geometry-optimized Sm8Pt3RhI4 structure. The functional is GGA-PBE.

Structure (POSCAR):
```
Sm8Pt3RhI4
1.0
-2.7703 -6.8859 3.9672
4.8011 -5.3850 -5.9940
4.3988 5.8035 4.2180
Sm Pt Rh I
8 3 1 4
Cartesian
6.8853 0.3217 0.8358
4.6521 -2.6237 -1.3053
3.1474 -0.4126 1.4817
5.4793 -3.1732 2.8493
0.9502 -3.2942 -0.6580
3.2821 -6.0547 0.7096
1.7774 -3.8436 3.4966
-0.4558 -6.7890 1.3555
1.0154 -6.1354 -1.0134
3.2148 -3.2337 1.0956
4.5999 0.2093 -0.8880
2.4006 -2.6925 -2.9970
-1.3852 -3.4429 1.9836
0.8142 -0.5412 4.0926
0.0000 0.0000 0.0000
2.1994 2.9017 2.1090
```

Calculated values
D(E_F), states/eV/f.u.: 9.9
Crystal system: trigonal
Symmetry: R-3m, No. 166
Calculated total energy, eV/atom: -5.422
Uncorrected formation energy, eV/atom: -1.083

This record from Alexandria via LeMat-Bulk describes a geometry-optimized Sr6Pt2RhI3 structure. The functional is GGA-PBE.

Structure (POSCAR):
```
Sr6Pt2RhI3
1.0
-0.9210 -0.0909 7.6281
6.4727 -2.7263 -3.1170
1.5247 8.3758 -1.0051
Sr Pt Rh I
6 2 1 3
Cartesian
4.2996 4.9863 4.4265
4.4059 -0.4281 3.1367
2.7768 0.5721 -0.9205
6.7143 4.1257 0.9172
2.6705 5.9866 0.3692
0.3621 1.4328 2.5887
4.0059 -1.8471 0.4679
1.5458 -0.9702 4.0432
0.0000 0.0000 0.0000
5.9926 1.9044 -1.8140
1.0838 3.6541 5.3199
3.5382 2.7792 1.7530
```

Calculated values
D(E_F), states/eV/f.u.: 5.8
Crystal system: monoclinic
Symmetry: C2/m, No. 12
Calculated total energy, eV/atom: -3.834
Uncorrected formation energy, eV/atom: -0.986

This record from Alexandria via LeMat-Bulk describes a geometry-optimized TaPtRhI2 structure. The functional is GGA-PBE.

Structure (POSCAR):
```
TaPtRhI2
1.0
5.3275 0.0000 0.0000
0.0000 4.9812 0.0000
0.0000 0.0000 5.3275
I Rh Pt Ta
2 1 1 1
Cartesian
0.0000 0.0000 2.6637
2.6637 0.0000 0.0000
2.6637 2.4906 2.6637
0.0000 0.0000 0.0000
0.0000 2.4906 0.0000
```

Calculated values
D(E_F), states/eV/f.u.: 9.1
Crystal system: tetragonal
Symmetry: P4/mmm, No. 123
Calculated total energy, eV/atom: -4.195
Uncorrected formation energy, eV/atom: 1.474

This record from Alexandria via LeMat-Bulk describes a geometry-optimized TcPt2RhI structure. The functional is GGA-PBE.

Structure (POSCAR):
```
TcPt2RhI
1.0
4.8906 0.0000 0.0000
0.0000 4.9482 0.0000
0.0000 0.0000 4.8906
I Rh Tc Pt
1 1 1 2
Cartesian
0.0000 0.0000 0.0000
2.4453 2.4741 2.4453
0.0000 2.4741 0.0000
0.0000 0.0000 2.4453
2.4453 0.0000 0.0000
```

Calculated values
D(E_F), states/eV/f.u.: 4.8
Crystal system: tetragonal
Symmetry: P4/mmm, No. 123
Calculated total energy, eV/atom: -4.478
Uncorrected formation energy, eV/atom: 1.792

This record from Alexandria via LeMat-Bulk describes a geometry-optimized Te2PtRhI structure. The functional is GGA-PBE.

Structure (POSCAR):
```
Te2PtRhI
1.0
5.1307 0.0000 0.0000
0.0000 5.1307 0.0000
0.0000 0.0000 5.3208
I Te Rh Pt
1 2 1 1
Cartesian
0.0000 0.0000 2.6604
0.0000 2.5653 0.0000
2.5653 0.0000 0.0000
0.0000 0.0000 0.0000
2.5653 2.5653 2.6604
```

Calculated values
D(E_F), states/eV/f.u.: 8.4
ΔE to the lowest computed polymorph, eV/atom: 0.000
Crystal system: tetragonal
Symmetry: P4/mmm, No. 123
Calculated total energy, eV/atom: -3.444
Uncorrected formation energy, eV/atom: 0.801

This record from Alexandria via LeMat-Bulk describes a geometry-optimized TePtRhI2 structure. The functional is GGA-PBE.

Structure (POSCAR):
```
TePtRhI2
1.0
5.3751 0.0000 0.0000
0.0000 5.3751 0.0000
0.0000 0.0000 5.0609
I Te Rh Pt
2 1 1 1
Cartesian
0.0000 2.6875 0.0000
2.6875 0.0000 0.0000
0.0000 0.0000 2.5305
0.0000 0.0000 0.0000
2.6875 2.6875 2.5305
```

Calculated values
D(E_F), states/eV/f.u.: 9.8
ΔE to the lowest computed polymorph, eV/atom: 0.000
Crystal system: tetragonal
Symmetry: P4/mmm, No. 123
Calculated total energy, eV/atom: -3.092
Uncorrected formation energy, eV/atom: 0.835